{
  "formula": "Sr2UNiO6",
  "functional": "GGA+U",
  "state": "relaxed",
  "e_tot_ev_per_atom": -7.4274,
  "dos_ef_per_ev_cell": 0.0,
  "spacegroup": "No. 14",
  "density_kg_m3": 6742,
  "total_magnetization_mub_per_fu": 2.000,
  "lattice_angstrom": [[-1.002, -2.962, 4.941], [-4.758, -2.358, -2.379], [-0.204, -8.599, -5.196]],
  "species": ["U", "Sr", "O", "Sr", "O", "O", "Sr", "O", "O", "U", "O", "O", "O", "Sr", "O", "O", "O", "Ni", "O", "Ni"],
  "frac_coords": [[0.000, 0.000, 0.500], [0.966, 0.740, 0.252], [0.982, 0.826, 0.748], [0.466, 0.260, 0.248], [0.217, 0.747, 0.040], [0.482, 0.174, 0.752], [0.534, 0.740, 0.752], [0.287, 0.321, 0.963], [0.518, 0.826, 0.248], [0.500, 0.000, 0.000], [0.787, 0.679, 0.537], [0.213, 0.321, 0.463], [0.283, 0.747, 0.540], [0.034, 0.260, 0.748], [0.783, 0.253, 0.960], [0.713, 0.679, 0.037], [0.018, 0.174, 0.252], [0.500, 0.500, 0.500], [0.717, 0.253, 0.460], [0.000, 0.500, 0.000]]
}